# 1
# CaNbAu, optimized geometry, DFT PBE
# Fermi-level density of states (states/eV per cell): 4.48
# Symmetry: Pnma
# E (eV for the cell shown): -63.4
# Offset from the most stable computed form (eV per atom): 0.070
# E_form (eV/atom): -0.168
data_CaNbAu
_chemical_formula_sum 'Ca4 Nb4 Au4'
_space_group_name_H-M_alt 'P 1'
_space_group_IT_number 1
_space_group_name_Hall 'P 1'
_cell_length_a 8.3861
_cell_length_b 3.5501
_cell_length_c 9.2044
_cell_angle_alpha 90.00
_cell_angle_beta 90.00
_cell_angle_gamma 90.00
loop_
_atom_site_label
_atom_site_fract_x
_atom_site_fract_y
_atom_site_fract_z
Nb1 0.1027 0.2500 0.4513
Nb2 0.3973 0.7500 0.9513
Nb3 0.8973 0.7500 0.5487
Nb4 0.6027 0.2500 0.0487
Au1 0.7320 0.2500 0.3579
Au2 0.7680 0.7500 0.8579
Au3 0.2680 0.7500 0.6421
Au4 0.2320 0.2500 0.1421
Ca1 0.0641 0.2500 0.8290
Ca2 0.4359 0.7500 0.3290
Ca3 0.9359 0.7500 0.1710
Ca4 0.5641 0.2500 0.6710

# 2
# Ho2Zn7Ga, optimized geometry, DFT PBE
# Fermi-level density of states (states/eV per cell): 5.82
# Symmetry: P-4m2
# E (eV for the cell shown): -24.3
# E_form (eV/atom): -0.315
data_Ho2Zn7Ga
_chemical_formula_sum 'Ho2 Zn7 Ga1'
_space_group_name_H-M_alt 'P 1'
_space_group_IT_number 1
_space_group_name_Hall 'P 1'
_cell_length_a 4.1094
_cell_length_b 4.1094
_cell_length_c 10.7260
_cell_angle_alpha 90.00
_cell_angle_beta 90.00
_cell_angle_gamma 90.00
loop_
_atom_site_label
_atom_site_fract_x
_atom_site_fract_y
_atom_site_fract_z
Ho1 0.5000 0.0000 0.7512
Ho2 0.0000 0.5000 0.2488
Zn1 0.0000 0.5000 0.8615
Zn2 0.5000 0.0000 0.3628
Zn3 0.5000 0.0000 0.1385
Zn4 0.0000 0.5000 0.6372
Zn5 0.0000 0.0000 0.5000
Zn6 0.0000 0.0000 0.0000
Zn7 0.5000 0.5000 0.5000
Ga1 0.5000 0.5000 0.0000